# TaTl2FeCu (PBEsol, optimized geometry)
data_TaTl2FeCu
_chemical_formula_sum 'Ta1 Tl2 Fe1 Cu1'
_space_group_name_H-M_alt 'P 4/m m m'
_space_group_IT_number 123
_space_group_name_Hall '-P 4 2'
_cell_length_a 4.8155
_cell_length_b 4.8155
_cell_length_c 4.3604
_cell_angle_alpha 90.00
_cell_angle_beta 90.00
_cell_angle_gamma 90.00
loop_
_atom_site_label
_atom_site_fract_x
_atom_site_fract_y
_atom_site_fract_z
Ta1 0.0000 0.0000 0.0000
Tl1 0.0000 0.5000 0.5000
Fe1 0.5000 0.5000 0.5000
Cu1 0.5000 0.5000 0.0000
# Total DFT energy (no corrections) ... -24.47 eV/cell
# Formation energy ... 1.33 eV per atom